# 1
Na5Au3Br12 | PBE-GGA | optimized geometry

Cell: 15.5230 15.5230 15.5230 Å, 109.47 109.47 109.47°
Last column: nearest neighbours and their distance in Å.
Fractional positions:
Au  0.7500  0.3750  0.1250  4 Br 2.62
Au  0.8750  0.7500  0.1250  4 Br 2.62
Au  0.3750  0.7500  0.6250  4 Br 2.62
Au  0.2500  0.1250  0.3750  4 Br 2.62
Au  0.8750  0.1250  0.2500  4 Br 2.62
Au  0.3750  0.6250  0.2500  4 Br 2.62
Au  0.6250  0.3750  0.7500  4 Br 2.62
Au  0.1250  0.8750  0.7500  4 Br 2.62
Au  0.7500  0.8750  0.6250  4 Br 2.62
Au  0.6250  0.2500  0.3750  4 Br 2.62
Au  0.1250  0.2500  0.8750  4 Br 2.62
Au  0.2500  0.6250  0.8750  4 Br 2.62
Na  0.1250  0.3750  0.2500  4 Br 2.96
Na  0.0000  0.5000  0.0000  6 Br 3.03
Na  0.0000  0.0000  0.0000  6 Br 3.03
Na  0.3750  0.2500  0.1250  4 Br 2.96
Na  0.5000  0.0000  0.5000  6 Br 3.03
Na  0.5000  0.5000  0.0000  6 Br 3.03
Na  0.1250  0.7500  0.3750  4 Br 2.96
Na  0.7500  0.1250  0.8750  4 Br 2.96
Na  0.7500  0.6250  0.3750  4 Br 2.96
Na  0.3750  0.1250  0.7500  4 Br 2.96
Na  0.6250  0.8750  0.2500  4 Br 2.96
Na  0.5000  0.5000  0.5000  6 Br 3.03
Na  0.5000  0.0000  0.0000  6 Br 3.03
Na  0.0000  0.0000  0.5000  6 Br 3.03
Na  0.2500  0.3750  0.6250  4 Br 2.96
Na  0.2500  0.8750  0.1250  4 Br 2.96
Na  0.0000  0.5000  0.5000  6 Br 3.03
Na  0.8750  0.2500  0.6250  4 Br 2.96
Na  0.6250  0.7500  0.8750  4 Br 2.96
Na  0.8750  0.6250  0.7500  4 Br 2.96
Br  0.7007  0.1766  0.0480  1 Au 2.62
Br  0.3472  0.5480  0.3713  1 Au 2.62
Br  0.9520  0.3234  0.2993  1 Au 2.62
Br  0.5480  0.2007  0.1766  1 Au 2.62
Br  0.5241  0.7007  0.6528  1 Au 2.62
Br  0.9520  0.6287  0.1528  1 Au 2.62
Br  0.3472  0.7993  0.4759  1 Au 2.62
Br  0.1287  0.9759  0.1766  1 Au 2.62
Br  0.6287  0.9520  0.6528  1 Au 2.62
Br  0.7007  0.5241  0.1528  1 Au 2.62
Br  0.7993  0.4520  0.3234  1 Au 2.62
Br  0.8472  0.8713  0.0480  1 Au 2.62
Br  0.1766  0.7007  0.5480  1 Au 2.62
Br  0.3234  0.3713  0.0241  1 Au 2.62
Br  0.0241  0.8713  0.3234  1 Au 2.62
Br  0.4759  0.1766  0.6287  1 Au 2.62
Br  0.0241  0.1528  0.2007  1 Au 2.62
Br  0.4520  0.6528  0.1287  1 Au 2.62
Br  0.8472  0.9759  0.2993  1 Au 2.62
Br  0.1766  0.4759  0.1287  1 Au 2.62
Br  0.3234  0.9520  0.7993  1 Au 2.62
Br  0.6287  0.6766  0.4759  1 Au 2.62
Br  0.8713  0.8472  0.5480  1 Au 2.62
Br  0.7993  0.3472  0.9759  1 Au 2.62
Br  0.3713  0.3234  0.5241  1 Au 2.62
Br  0.1287  0.1528  0.4520  1 Au 2.62
Br  0.2007  0.6528  0.0241  1 Au 2.62
Br  0.1528  0.0241  0.7007  1 Au 2.62
Br  0.6766  0.0480  0.2007  1 Au 2.62
Br  0.8234  0.5241  0.8713  1 Au 2.62
Br  0.5480  0.3472  0.8713  1 Au 2.62
Br  0.5241  0.8234  0.3713  1 Au 2.62
Br  0.9759  0.8472  0.7993  1 Au 2.62
Br  0.9759  0.1287  0.6766  1 Au 2.62
Br  0.8234  0.2993  0.4520  1 Au 2.62
Br  0.1528  0.1287  0.9520  1 Au 2.62
Br  0.6766  0.6287  0.9759  1 Au 2.62
Br  0.3713  0.0480  0.3472  1 Au 2.62
Br  0.2993  0.4759  0.8472  1 Au 2.62
Br  0.2007  0.5480  0.6766  1 Au 2.62
Br  0.8713  0.0241  0.8234  1 Au 2.62
Br  0.6528  0.2007  0.5241  1 Au 2.62
Br  0.4520  0.7993  0.8234  1 Au 2.62
Br  0.0480  0.3713  0.8472  1 Au 2.62
Br  0.4759  0.2993  0.3472  1 Au 2.62
Br  0.0480  0.6766  0.7007  1 Au 2.62
Br  0.6528  0.4520  0.6287  1 Au 2.62
Br  0.2993  0.8234  0.9520  1 Au 2.62

Properties
- formation energy from raw total energies (eV/f.u.) = -12.541
- calculated density (g/cm³) = 3.84

# 2
Na12Au5Br3 | PBE-GGA | optimized geometry

Cell: 15.1301 15.1301 15.1301 Å, 109.47 109.47 109.47°
Last column: nearest neighbours and their distance in Å.
Fractional positions:
Br  0.7500  0.3750  0.1250  4 Na 3.08
Br  0.8750  0.7500  0.1250  4 Na 3.08
Br  0.3750  0.7500  0.6250  4 Na 3.08
Br  0.2500  0.1250  0.3750  4 Na 3.08
Br  0.8750  0.1250  0.2500  4 Na 3.08
Br  0.3750  0.6250  0.2500  4 Na 3.08
Br  0.6250  0.3750  0.7500  4 Na 3.08
Br  0.1250  0.8750  0.7500  4 Na 3.08
Br  0.7500  0.8750  0.6250  4 Na 3.08
Br  0.6250  0.2500  0.3750  4 Na 3.08
Br  0.1250  0.2500  0.8750  4 Na 3.08
Br  0.2500  0.6250  0.8750  4 Na 3.08
Au  0.1250  0.3750  0.2500  4 Na 2.83
Au  0.0000  0.5000  0.0000  6 Na 2.93
Au  0.0000  0.0000  0.0000  6 Na 2.93
Au  0.3750  0.2500  0.1250  4 Na 2.83
Au  0.5000  0.0000  0.5000  6 Na 2.93
Au  0.5000  0.5000  0.0000  6 Na 2.93
Au  0.1250  0.7500  0.3750  4 Na 2.83
Au  0.7500  0.1250  0.8750  4 Na 2.83
Au  0.7500  0.6250  0.3750  4 Na 2.83
Au  0.3750  0.1250  0.7500  4 Na 2.83
Au  0.6250  0.8750  0.2500  4 Na 2.83
Au  0.5000  0.5000  0.5000  6 Na 2.93
Au  0.5000  0.0000  0.0000  6 Na 2.93
Au  0.0000  0.0000  0.5000  6 Na 2.93
Au  0.2500  0.3750  0.6250  4 Na 2.83
Au  0.2500  0.8750  0.1250  4 Na 2.83
Au  0.0000  0.5000  0.5000  6 Na 2.93
Au  0.8750  0.2500  0.6250  4 Na 2.83
Au  0.6250  0.7500  0.8750  4 Na 2.83
Au  0.8750  0.6250  0.7500  4 Na 2.83
Na  0.7238  0.1202  0.0507  2 Au 2.83-2.93, 1 Br 3.08
Na  0.3268  0.5507  0.4304  2 Au 2.83-2.93, 1 Br 3.08
Na  0.9493  0.3798  0.2762  2 Au 2.83-2.93, 1 Br 3.08
Na  0.5507  0.2238  0.1202  2 Au 2.83-2.93, 1 Br 3.08
Na  0.6036  0.7238  0.6732  2 Au 2.83-2.93, 1 Br 3.08
Na  0.9493  0.5696  0.1732  2 Au 2.83-2.93, 1 Br 3.08
Na  0.3268  0.7762  0.3964  2 Au 2.83-2.93, 1 Br 3.08
Na  0.0696  0.8964  0.1202  2 Au 2.83-2.93, 1 Br 3.08
Na  0.5696  0.9493  0.6732  2 Au 2.83-2.93, 1 Br 3.08
Na  0.7238  0.6036  0.1732  2 Au 2.83-2.93, 1 Br 3.08
Na  0.7762  0.4493  0.3798  2 Au 2.83-2.93, 1 Br 3.08
Na  0.8268  0.9304  0.0507  2 Au 2.83-2.93, 1 Br 3.08
Na  0.1202  0.7238  0.5507  2 Au 2.83-2.93, 1 Br 3.08
Na  0.3798  0.4304  0.1036  2 Au 2.83-2.93, 1 Br 3.08
Na  0.1036  0.9304  0.3798  2 Au 2.83-2.93, 1 Br 3.08
Na  0.3964  0.1202  0.5696  2 Au 2.83-2.93, 1 Br 3.08
Na  0.1036  0.1732  0.2238  2 Au 2.83-2.93, 1 Br 3.08
Na  0.4493  0.6732  0.0696  2 Au 2.83-2.93, 1 Br 3.08
Na  0.8268  0.8964  0.2762  2 Au 2.83-2.93, 1 Br 3.08
Na  0.1202  0.3964  0.0696  2 Au 2.83-2.93, 1 Br 3.08
Na  0.3798  0.9493  0.7762  2 Au 2.83-2.93, 1 Br 3.08
Na  0.5696  0.6202  0.3964  2 Au 2.83-2.93, 1 Br 3.08
Na  0.9304  0.8268  0.5507  2 Au 2.83-2.93, 1 Br 3.08
Na  0.7762  0.3268  0.8964  2 Au 2.83-2.93, 1 Br 3.08
Na  0.4304  0.3798  0.6036  2 Au 2.83-2.93, 1 Br 3.08
Na  0.0696  0.1732  0.4493  2 Au 2.83-2.93, 1 Br 3.08
Na  0.2238  0.6732  0.1036  2 Au 2.83-2.93, 1 Br 3.08
Na  0.1732  0.1036  0.7238  2 Au 2.83-2.93, 1 Br 3.08
Na  0.6202  0.0507  0.2238  2 Au 2.83-2.93, 1 Br 3.08
Na  0.8798  0.6036  0.9304  2 Au 2.83-2.93, 1 Br 3.08
Na  0.5507  0.3268  0.9304  2 Au 2.83-2.93, 1 Br 3.08
Na  0.6036  0.8798  0.4304  2 Au 2.83-2.93, 1 Br 3.08
Na  0.8964  0.8268  0.7762  2 Au 2.83-2.93, 1 Br 3.08
Na  0.8964  0.0696  0.6202  2 Au 2.83-2.93, 1 Br 3.08
Na  0.8798  0.2762  0.4493  2 Au 2.83-2.93, 1 Br 3.08
Na  0.1732  0.0696  0.9493  2 Au 2.83-2.93, 1 Br 3.08
Na  0.6202  0.5696  0.8964  2 Au 2.83-2.93, 1 Br 3.08
Na  0.4304  0.0507  0.3268  2 Au 2.83-2.93, 1 Br 3.08
Na  0.2762  0.3964  0.8268  2 Au 2.83-2.93, 1 Br 3.08
Na  0.2238  0.5507  0.6202  2 Au 2.83-2.93, 1 Br 3.08
Na  0.9304  0.1036  0.8798  2 Au 2.83-2.93, 1 Br 3.08
Na  0.6732  0.2238  0.6036  2 Au 2.83-2.93, 1 Br 3.08
Na  0.4493  0.7762  0.8798  2 Au 2.83-2.93, 1 Br 3.08
Na  0.0507  0.4304  0.8268  2 Au 2.83-2.93, 1 Br 3.08
Na  0.3964  0.2762  0.3268  2 Au 2.83-2.93, 1 Br 3.08
Na  0.0507  0.6202  0.7238  2 Au 2.83-2.93, 1 Br 3.08
Na  0.6732  0.4493  0.5696  2 Au 2.83-2.93, 1 Br 3.08
Na  0.2762  0.8798  0.9493  2 Au 2.83-2.93, 1 Br 3.08

Properties
- formation energy from raw total energies (eV/f.u.) = -8.410
- calculated density (g/cm³) = 3.74

# 3
NaAuBr4 | PBE-GGA | optimized geometry

Cell: 7.4921 7.5327 8.4566 Å, 116.45 116.14 90.00°
Last column: nearest neighbours and their distance in Å.
Fractional positions:
Na  0.7500  0.7494  0.0000  8 Br 3.19-3.22
Na  0.2500  0.2506  0.0000  8 Br 3.19-3.22
Au  0.5000  0.0000  0.5000  4 Br 2.49
Au  0.0000  0.5000  0.5000  4 Br 2.49
Br  0.6998  0.5389  0.2400  1 Au 2.49
Br  0.5390  0.0377  0.2382  1 Au 2.49
Br  0.1998  0.7011  0.2400  1 Au 2.49
Br  0.0390  0.2005  0.2382  1 Au 2.49
Br  0.4610  0.9623  0.7618  1 Au 2.49
Br  0.3002  0.4611  0.7600  1 Au 2.49
Br  0.9610  0.7995  0.7618  1 Au 2.49
Br  0.8002  0.2989  0.7600  1 Au 2.49

Properties
- formation energy from raw total energies (eV/f.u.) = -3.477
- calculated density (g/cm³) = 4.82

# 4
Na3AuBr4 | PBE-GGA | optimized geometry

Cell: 6.0119 9.7963 9.3147 Å, 90.00 90.00 90.00°
Last column: nearest neighbours and their distance in Å.
Fractional positions:
Na  0.5648  0.8859  0.0000  3 Br 2.81-3.05
Na  0.0648  0.6711  0.2485  5 Br 2.80-3.04
Na  0.5648  0.3289  0.2515  5 Br 2.80-3.04
Na  0.0648  0.1141  0.5000  3 Br 2.81-3.05
Na  0.5648  0.3289  0.7485  5 Br 2.80-3.04
Na  0.0648  0.6711  0.7515  5 Br 2.80-3.04
Au  0.0641  0.3445  0.0000  2 Br 2.47
Au  0.5641  0.6555  0.5000  2 Br 2.47
Br  0.0643  0.8356  0.0000  4 Na 2.82-3.05
Br  0.5638  0.1725  0.0000  3 Na 2.80-2.81
Br  0.0644  0.3611  0.2642  1 Au 2.47
Br  0.5644  0.6389  0.2358  1 Au 2.47
Br  0.0638  0.8275  0.5000  3 Na 2.80-2.81
Br  0.5643  0.1644  0.5000  4 Na 2.82-3.05
Br  0.5644  0.6389  0.7642  1 Au 2.47
Br  0.0644  0.3611  0.7358  1 Au 2.47

Properties
- formation energy from raw total energies (eV/f.u.) = -8.988
- calculated density (g/cm³) = 3.54

# 5
NaAuBrO2 | PBE-GGA | optimized geometry

Cell: 4.2244 6.6209 4.2244 Å, 90.00 90.00 90.00°
Last column: nearest neighbours and their distance in Å.
Fractional positions:
Na  0.0000  0.0000  0.0000  4 O 2.11
Au  0.0000  0.5000  0.0000  4 Br 2.99, 2 Na 3.31
O  0.0000  0.0000  0.5000  2 Na 2.11
O  0.5000  0.0000  0.0000  2 Na 2.11
Br  0.5000  0.5000  0.5000  4 Au 2.99

Properties
- formation energy from raw total energies (eV/f.u.) = 2.781
- calculated density (g/cm³) = 4.66

# 6
NaPdAu2Br6 | PBE-GGA | optimized geometry

Cell: 13.2399 10.9176 11.2349 Å, 30.46 33.87 25.32°
Last column: nearest neighbours and their distance in Å.
Fractional positions:
Na  0.6134  0.8391  0.7814  6 Br 2.99-3.31
Pd  0.3500  0.3396  0.9687  4 Br 2.47-2.50
Au  0.4699  0.5910  0.4324  2 Br 2.44-2.45
Au  0.0519  0.9525  0.9998  4 Br 2.55-2.62
Br  0.6439  0.2716  0.2378  1 Au 2.55
Br  0.2105  0.1323  0.1467  1 Au 2.44, 1 Pd 2.48
Br  0.9849  0.6220  0.2147  1 Pd 2.47, 1 Au 2.61
Br  0.4557  0.5901  0.7851  1 Pd 2.47, 1 Au 2.62
Br  0.7321  0.0496  0.7191  1 Au 2.45, 1 Pd 2.50
Br  0.1493  0.2740  0.7296  1 Au 2.55

Properties
- formation energy from raw total energies (eV/f.u.) = -4.232
- calculated density (g/cm³) = 4.87

# 7
Na2PdAuBr6 | PBE-GGA | optimized geometry

Cell: 7.3599 7.1328 7.3810 Å, 62.81 68.10 59.76°
Last column: nearest neighbours and their distance in Å.
Fractional positions:
Na  0.5325  0.5381  0.4294  5 Br 2.95-3.08
Na  0.0135  0.0119  0.9430  6 Br 2.97-3.16
Pd  0.3252  0.3265  0.0205  4 Br 2.49-2.57
Au  0.8244  0.8239  0.5243  4 Br 2.55-2.70
Br  0.5862  0.1959  0.2499  1 Pd 2.57, 1 Au 2.70
Br  0.2169  0.9968  0.2350  1 Pd 2.49
Br  0.9546  0.5867  0.2914  1 Au 2.56
Br  0.4247  0.6622  0.8059  1 Pd 2.49
Br  0.6876  0.0672  0.7520  1 Au 2.55
Br  0.0960  0.4523  0.7639  1 Pd 2.56, 1 Au 2.68

Properties
- formation energy from raw total energies (eV/f.u.) = -7.114
- calculated density (g/cm³) = 4.70

# 8
Rb2NaAu2Br6 | PBE-GGA | optimized geometry

Cell: 7.3907 8.2500 8.5191 Å, 117.59 90.00 116.61°
Last column: nearest neighbours and their distance in Å.
Fractional positions:
Rb  0.7337  0.4673  0.2242  7 Br 3.54-3.81
Rb  0.2663  0.5327  0.7758  7 Br 3.54-3.81
Na  0.5000  0.0000  0.5000  6 Br 2.93-3.16
Au  0.9418  0.8836  0.7771  3 Br 2.50-2.58
Au  0.0582  0.1164  0.2229  3 Br 2.50-2.58
Br  0.7463  0.4925  0.6508  1 Au 2.50
Br  0.1892  0.8622  0.1859  1 Au 2.58
Br  0.3270  0.1378  0.8141  1 Au 2.58
Br  0.8108  0.1378  0.8141  1 Au 2.58
Br  0.6730  0.8622  0.1859  1 Au 2.58
Br  0.2537  0.5075  0.3492  1 Au 2.50

Properties
- formation energy from raw total energies (eV/f.u.) = -9.962
- calculated density (g/cm³) = 4.46